Record 1
{
  "formula": "MgCuPO2",
  "functional": "PBEsol",
  "state": "relaxed",
  "sg": "P4/mmm, No. 123",
  "total_energy_ev_per_cell": -22.87,
  "total_magnetization_mub_per_cell": 0.73,
  "e_form_raw_ev_per_atom": -0.10,
  "lattice": [[-0.9387, -2.3074, 2.8093], [0.1857, -2.9281, -2.3429], [4.4263, -0.5447, 1.0316]],
  "species": ["P", "Mg", "O", "O", "Cu"],
  "frac_coords": [[0.0000, 0.0000, 0.5000], [0.5000, 0.5000, 0.5000], [0.0000, 0.5000, 0.0000], [0.5000, 0.0000, 0.0000], [0.0000, 0.0000, 0.0000]]
}

Record 2
{
  "formula": "MgAu2",
  "functional": "PBEsol",
  "state": "relaxed",
  "sg": "P-62m, No. 189",
  "total_energy_ev_per_cell": -32.22,
  "delta_e_f_ev_per_atom": -0.392,
  "total_magnetization_mub_per_cell": 0.00,
  "lattice": [[-1.8237, 1.9259, -1.3604], [-5.5903, -5.2790, 0.0207], [0.7203, 4.8600, 5.9145]],
  "species": ["Au", "Au", "Au", "Au", "Au", "Au", "Mg", "Mg", "Mg"],
  "frac_coords": [[0.5000, 0.0000, 0.6973], [0.5000, 0.6973, 0.0000], [0.5000, 0.3027, 0.3027], [0.0000, 0.0000, 0.3621], [0.0000, 0.3621, 0.0000], [0.0000, 0.6379, 0.6379], [0.0000, 0.0000, 0.0000], [0.5000, 0.3333, 0.6667], [0.5000, 0.6667, 0.3333]]
}

Repeat the first record exactly.
{
  "formula": "MgCuPO2",
  "functional": "PBEsol",
  "state": "relaxed",
  "sg": "P4/mmm, No. 123",
  "total_energy_ev_per_cell": -22.87,
  "total_magnetization_mub_per_cell": 0.73,
  "e_form_raw_ev_per_atom": -0.10,
  "lattice": [[-0.9387, -2.3074, 2.8093], [0.1857, -2.9281, -2.3429], [4.4263, -0.5447, 1.0316]],
  "species": ["P", "Mg", "O", "O", "Cu"],
  "frac_coords": [[0.0000, 0.0000, 0.5000], [0.5000, 0.5000, 0.5000], [0.0000, 0.5000, 0.0000], [0.5000, 0.0000, 0.0000], [0.0000, 0.0000, 0.0000]]
}

Repeat the second record exactly.
{
  "formula": "MgAu2",
  "functional": "PBEsol",
  "state": "relaxed",
  "sg": "P-62m, No. 189",
  "total_energy_ev_per_cell": -32.22,
  "delta_e_f_ev_per_atom": -0.392,
  "total_magnetization_mub_per_cell": 0.00,
  "lattice": [[-1.8237, 1.9259, -1.3604], [-5.5903, -5.2790, 0.0207], [0.7203, 4.8600, 5.9145]],
  "species": ["Au", "Au", "Au", "Au", "Au", "Au", "Mg", "Mg", "Mg"],
  "frac_coords": [[0.5000, 0.0000, 0.6973], [0.5000, 0.6973, 0.0000], [0.5000, 0.3027, 0.3027], [0.0000, 0.0000, 0.3621], [0.0000, 0.3621, 0.0000], [0.0000, 0.6379, 0.6379], [0.0000, 0.0000, 0.0000], [0.5000, 0.3333, 0.6667], [0.5000, 0.6667, 0.3333]]
}